No. 1
This record from Alexandria describes a crystal of NaPH7O6 relaxed with PBEsol. The functional is meta-GGA SCAN.

Values from the calculation:
E_tot, eV per atom: -6.5217
V, Å³/cell: 533.80

The structure in CIF format:
```
data_NaPH7O6
_chemical_formula_sum 'Na4 P4 H28 O24'
_cell_length_a 6.828
_cell_length_b 7.761
_cell_length_c 11.839
_cell_angle_alpha 75.43
_cell_angle_beta 73.24
_cell_angle_gamma 63.90
_space_group_name_H-M_alt 'P 1'
_space_group_IT_number 1
_space_group_name_Hall 'P 1'
loop_
_atom_site_label
_atom_site_fract_x
_atom_site_fract_y
_atom_site_fract_z
H1 0.146 0.128 0.453
H2 0.604 0.112 0.004
H3 0.526 0.379 0.611
H4 0.727 0.372 0.047
H5 0.484 0.879 0.111
H6 0.396 0.888 0.996
H7 0.461 0.441 0.900
H8 0.802 0.059 0.600
H9 0.198 0.941 0.400
H10 0.348 0.968 0.598
H11 0.166 0.907 0.135
H12 0.539 0.559 0.100
H13 0.442 0.206 0.455
H14 0.792 0.407 0.635
H15 0.280 0.612 0.504
H16 0.652 0.032 0.402
H17 0.516 0.121 0.889
H18 0.273 0.628 0.953
H19 0.104 0.294 0.045
H20 0.834 0.093 0.865
H21 0.896 0.706 0.955
H22 0.208 0.593 0.365
H23 0.558 0.794 0.545
H24 0.720 0.388 0.496
H25 0.914 0.532 0.902
H26 0.854 0.872 0.547
H27 0.474 0.621 0.389
H28 0.086 0.468 0.098
P1 0.132 0.162 0.839
P2 0.133 0.338 0.661
P3 0.868 0.838 0.161
P4 0.867 0.662 0.339
O1 0.991 0.296 0.933
O2 0.147 0.084 0.381
O3 0.853 0.916 0.619
O4 0.220 0.204 0.567
O5 0.388 0.584 0.881
O6 0.306 0.670 0.418
O7 0.136 0.324 0.113
O8 0.572 0.176 0.387
O9 0.369 0.031 0.857
O10 0.780 0.796 0.433
O11 0.988 0.967 0.169
O12 0.612 0.416 0.119
O13 0.631 0.969 0.143
O14 0.393 0.830 0.082
O15 0.124 0.533 0.331
O16 0.257 0.469 0.643
O17 0.743 0.531 0.357
O18 0.694 0.330 0.582
O19 0.012 0.033 0.831
O20 0.864 0.676 0.887
O21 0.876 0.467 0.669
O22 0.428 0.824 0.613
O23 0.607 0.170 0.918
O24 0.009 0.704 0.067
Na1 0.379 0.245 0.235
Na2 0.141 0.745 0.735
Na3 0.859 0.255 0.265
Na4 0.621 0.755 0.765
```


No. 2
This record from Alexandria describes a crystal of NaPH2O4 relaxed with PBEsol. The functional is meta-GGA SCAN.

Values from the calculation:
E_tot, eV per atom: -7.7335
V, Å³/cell: 725.23

The structure in CIF format:
```
data_NaPH2O4
_chemical_formula_sum 'Na8 P8 H16 O32'
_cell_length_a 6.138
_cell_length_b 9.652
_cell_length_c 12.246
_cell_angle_alpha 90.00
_cell_angle_beta 90.00
_cell_angle_gamma 91.39
_space_group_name_H-M_alt 'P 1'
_space_group_IT_number 1
_space_group_name_Hall 'P 1'
loop_
_atom_site_label
_atom_site_fract_x
_atom_site_fract_y
_atom_site_fract_z
P1 0.549 0.509 0.320
P2 0.549 0.009 0.180
P3 0.399 0.190 0.005
P4 0.399 0.690 0.495
P5 0.451 0.991 0.820
P6 0.601 0.810 0.995
P7 0.601 0.310 0.505
P8 0.451 0.491 0.680
Na1 0.746 0.969 0.559
Na2 0.254 0.531 0.059
Na3 0.931 0.581 0.625
Na4 0.746 0.469 0.941
Na5 0.254 0.031 0.441
Na6 0.069 0.419 0.375
Na7 0.069 0.919 0.125
Na8 0.931 0.081 0.875
O1 0.949 0.378 0.086
O2 0.431 0.842 0.507
O3 0.486 0.380 0.399
O4 0.050 0.698 0.190
O5 0.514 0.620 0.601
O6 0.229 0.007 0.771
O7 0.569 0.140 0.098
O8 0.352 0.522 0.248
O9 0.177 0.125 0.024
O10 0.050 0.198 0.310
O11 0.648 0.978 0.748
O12 0.569 0.658 0.007
O13 0.431 0.860 0.902
O14 0.177 0.625 0.476
O15 0.771 0.993 0.229
O16 0.352 0.022 0.252
O17 0.514 0.120 0.899
O18 0.823 0.875 0.976
O19 0.950 0.802 0.690
O20 0.569 0.158 0.493
O21 0.949 0.878 0.414
O22 0.431 0.360 0.598
O23 0.771 0.493 0.271
O24 0.950 0.302 0.810
O25 0.051 0.622 0.914
O26 0.051 0.122 0.586
O27 0.569 0.640 0.402
O28 0.486 0.880 0.101
O29 0.229 0.507 0.729
O30 0.648 0.478 0.752
O31 0.823 0.375 0.524
O32 0.431 0.342 0.993
H1 0.003 0.782 0.416
H2 0.997 0.218 0.584
H3 0.826 0.347 0.773
H4 0.174 0.653 0.227
H5 0.076 0.863 0.711
H6 0.997 0.718 0.916
H7 0.872 0.891 0.344
H8 0.924 0.637 0.211
H9 0.128 0.109 0.656
H10 0.924 0.137 0.289
H11 0.872 0.391 0.156
H12 0.826 0.847 0.727
H13 0.128 0.609 0.844
H14 0.174 0.153 0.273
H15 0.076 0.363 0.789
H16 0.003 0.282 0.084
```


No. 3
This record from Alexandria describes a crystal of Na2P2H2O7 relaxed with PBEsol. The functional is meta-GGA SCAN.

Values from the calculation:
E_tot, eV per atom: -8.2957
V, Å³/cell: 579.47

The structure in CIF format:
```
data_Na2P2H2O7
_chemical_formula_sum 'Na8 P8 H8 O28'
_cell_length_a 6.864
_cell_length_b 7.052
_cell_length_c 14.128
_cell_angle_alpha 83.21
_cell_angle_beta 75.94
_cell_angle_gamma 60.88
_space_group_name_H-M_alt 'P 1'
_space_group_IT_number 1
_space_group_name_Hall 'P 1'
loop_
_atom_site_label
_atom_site_fract_x
_atom_site_fract_y
_atom_site_fract_z
P1 0.192 0.786 0.646
P2 0.624 0.214 0.354
P3 0.162 0.214 0.646
P4 0.558 0.714 0.854
P5 0.588 0.286 0.854
P6 0.022 0.786 0.354
P7 0.126 0.286 0.146
P8 0.728 0.714 0.146
O1 0.903 0.500 0.195
O2 0.340 0.360 0.913
O3 0.988 0.324 0.582
O4 0.410 0.140 0.587
O5 0.597 0.500 0.805
O6 0.558 0.838 0.237
O7 0.429 0.676 0.582
O8 0.204 0.162 0.237
O9 0.321 0.824 0.918
O10 0.301 0.360 0.087
O11 0.003 0.860 0.587
O12 0.192 0.662 0.263
O13 0.137 0.860 0.413
O14 0.153 0.000 0.695
O15 0.116 0.338 0.737
O16 0.546 0.338 0.263
O17 0.062 0.176 0.082
O18 0.747 0.640 0.913
O19 0.146 0.662 0.737
O20 0.634 0.162 0.763
O21 0.449 0.140 0.413
O22 0.762 0.176 0.918
O23 0.847 0.000 0.305
O24 0.688 0.324 0.418
O25 0.894 0.676 0.418
O26 0.856 0.824 0.082
O27 0.613 0.640 0.087
O28 0.604 0.838 0.763
Na1 0.658 0.284 0.597
Na2 0.210 0.784 0.097
Na3 0.006 0.784 0.903
Na4 0.744 0.716 0.597
Na5 0.540 0.716 0.403
Na6 0.092 0.216 0.903
Na7 0.693 0.216 0.097
Na8 0.057 0.284 0.403
H1 0.616 0.000 0.767
H2 0.428 0.143 0.500
H3 0.678 0.643 0.000
H4 0.384 0.000 0.233
H5 0.134 0.500 0.733
H6 0.366 0.500 0.267
H7 0.072 0.857 0.500
H8 0.322 0.357 0.000
```


No. 4
This record from Alexandria describes a crystal of Na2PHO4 relaxed with PBEsol. The functional is meta-GGA SCAN.

Values from the calculation:
E_tot, eV per atom: -8.1141
V, Å³/cell: 182.66

The structure in CIF format:
```
data_Na2PHO4
_chemical_formula_sum 'Na4 P2 H2 O8'
_cell_length_a 5.491
_cell_length_b 5.448
_cell_length_c 6.817
_cell_angle_alpha 90.00
_cell_angle_beta 90.00
_cell_angle_gamma 116.41
_space_group_name_H-M_alt 'P 1'
_space_group_IT_number 1
_space_group_name_Hall 'P 1'
loop_
_atom_site_label
_atom_site_fract_x
_atom_site_fract_y
_atom_site_fract_z
H1 0.482 0.981 0.012
H2 0.518 0.019 0.512
Na1 0.778 0.390 0.252
Na2 0.996 0.001 0.002
Na3 0.004 0.999 0.502
Na4 0.222 0.610 0.752
O1 0.690 0.759 0.254
O2 0.308 0.796 0.440
O3 0.692 0.205 0.568
O4 0.310 0.241 0.754
O5 0.202 0.360 0.253
O6 0.798 0.640 0.753
O7 0.308 0.795 0.068
O8 0.692 0.204 0.940
P1 0.617 0.333 0.758
P2 0.383 0.667 0.258
```


No. 5
This record from Alexandria describes a crystal of Na2P3HO9 relaxed with PBEsol. The functional is meta-GGA SCAN.

Values from the calculation:
E_tot, eV per atom: -8.9147
V, Å³/cell: 361.54

The structure in CIF format:
```
data_Na2P3HO9
_chemical_formula_sum 'Na4 P6 H2 O18'
_cell_length_a 6.717
_cell_length_b 7.117
_cell_length_c 7.747
_cell_angle_alpha 92.20
_cell_angle_beta 102.25
_cell_angle_gamma 91.04
_space_group_name_H-M_alt 'P 1'
_space_group_IT_number 1
_space_group_name_Hall 'P 1'
loop_
_atom_site_label
_atom_site_fract_x
_atom_site_fract_y
_atom_site_fract_z
Na1 0.414 0.353 0.156
Na2 0.586 0.647 0.844
Na3 0.097 0.647 0.860
Na4 0.903 0.353 0.140
O1 0.965 0.230 0.592
O2 0.304 0.109 0.717
O3 0.121 0.310 0.920
O4 0.284 0.618 0.643
O5 0.353 0.023 0.178
O6 0.696 0.891 0.283
O7 0.589 0.227 0.598
O8 0.647 0.977 0.822
O9 0.411 0.773 0.402
O10 0.007 0.971 0.807
O11 0.584 0.315 0.921
O12 0.199 0.468 0.323
O13 0.993 0.029 0.193
O14 0.035 0.770 0.408
O15 0.416 0.685 0.079
O16 0.801 0.532 0.677
O17 0.716 0.382 0.357
O18 0.879 0.690 0.080
P1 0.543 0.162 0.780
P2 0.098 0.163 0.774
P3 0.233 0.636 0.448
P4 0.902 0.837 0.226
P5 0.457 0.838 0.220
P6 0.767 0.364 0.552
H1 0.842 0.973 0.814
H2 0.158 0.027 0.186
```


No. 6
This record from Alexandria describes a crystal of Na2PHO4 relaxed with PBEsol. The functional is meta-GGA SCAN.

Values from the calculation:
E_tot, eV per atom: -8.1147
V, Å³/cell: 364.99

The structure in CIF format:
```
data_Na2PHO4
_chemical_formula_sum 'Na8 P4 H4 O16'
_cell_length_a 5.446
_cell_length_b 6.815
_cell_length_c 9.851
_cell_angle_alpha 90.00
_cell_angle_beta 93.32
_cell_angle_gamma 90.00
_space_group_name_H-M_alt 'P 1'
_space_group_IT_number 1
_space_group_name_Hall 'P 1'
loop_
_atom_site_label
_atom_site_fract_x
_atom_site_fract_y
_atom_site_fract_z
H1 0.235 0.496 0.258
H2 0.265 0.996 0.242
H3 0.765 0.504 0.742
H4 0.735 0.004 0.758
O1 0.914 0.250 0.155
O2 0.086 0.750 0.845
O3 0.241 0.747 0.601
O4 0.354 0.569 0.152
O5 0.646 0.431 0.848
O6 0.862 0.559 0.655
O7 0.146 0.069 0.348
O8 0.586 0.750 0.345
O9 0.759 0.253 0.399
O10 0.362 0.941 0.155
O11 0.259 0.247 0.899
O12 0.638 0.059 0.845
O13 0.854 0.931 0.652
O14 0.138 0.441 0.345
O15 0.741 0.753 0.101
O16 0.414 0.250 0.655
Na1 0.000 0.000 0.000
Na2 0.500 0.000 0.500
Na3 0.499 0.742 0.889
Na4 0.999 0.758 0.389
Na5 0.001 0.242 0.611
Na6 0.000 0.500 0.000
Na7 0.501 0.258 0.111
Na8 0.500 0.500 0.500
P1 0.524 0.748 0.191
P2 0.476 0.252 0.809
P3 0.024 0.752 0.691
P4 0.976 0.248 0.309
```


No. 7
This record from Alexandria describes a crystal of NaPHO2 relaxed with PBEsol. The functional is meta-GGA SCAN.

Values from the calculation:
E_tot, eV per atom: -4.7915
V, Å³/cell: 89.79

The structure in CIF format:
```
data_NaPHO2
_chemical_formula_sum 'Na1 P1 H1 O2'
_cell_length_a 4.117
_cell_length_b 4.117
_cell_length_c 5.297
_cell_angle_alpha 90.00
_cell_angle_beta 90.00
_cell_angle_gamma 90.00
_space_group_name_H-M_alt 'P 1'
_space_group_IT_number 1
_space_group_name_Hall 'P 1'
loop_
_atom_site_label
_atom_site_fract_x
_atom_site_fract_y
_atom_site_fract_z
O1 0.500 0.000 0.000
O2 0.000 0.500 0.000
P1 0.000 0.000 0.500
H1 0.500 0.500 0.500
Na1 0.000 0.000 0.000
```


No. 8
This record from Alexandria describes a crystal of NaPH2O4 relaxed with PBEsol. The functional is meta-GGA SCAN.

Values from the calculation:
E_tot, eV per atom: -7.7338
V, Å³/cell: 364.60

The structure in CIF format:
```
data_NaPH2O4
_chemical_formula_sum 'Na4 P4 H8 O16'
_cell_length_a 6.333
_cell_length_b 6.670
_cell_length_c 9.454
_cell_angle_alpha 93.75
_cell_angle_beta 103.61
_cell_angle_gamma 108.16
_space_group_name_H-M_alt 'P 1'
_space_group_IT_number 1
_space_group_name_Hall 'P 1'
loop_
_atom_site_label
_atom_site_fract_x
_atom_site_fract_y
_atom_site_fract_z
O1 0.564 0.824 0.913
O2 0.176 0.668 0.643
O3 0.793 0.119 0.697
O4 0.043 0.120 0.141
O5 0.957 0.880 0.859
O6 0.207 0.881 0.303
O7 0.824 0.332 0.357
O8 0.803 0.913 0.286
O9 0.353 0.259 0.495
O10 0.321 0.493 0.175
O11 0.436 0.176 0.087
O12 0.647 0.741 0.505
O13 0.115 0.282 0.924
O14 0.679 0.507 0.825
O15 0.885 0.718 0.076
O16 0.197 0.087 0.714
H1 0.831 0.185 0.347
H2 0.325 0.124 0.430
H3 0.169 0.815 0.653
H4 0.288 0.208 0.578
H5 0.296 0.675 0.733
H6 0.712 0.792 0.422
H7 0.704 0.325 0.267
H8 0.675 0.876 0.570
Na1 0.571 0.166 0.867
Na2 0.241 0.555 0.411
Na3 0.759 0.445 0.589
Na4 0.429 0.834 0.133
P1 0.255 0.278 0.091
P2 0.010 0.094 0.785
P3 0.990 0.906 0.215
P4 0.745 0.722 0.909
```


No. 9
This record from Alexandria describes a crystal of NaPH4SO8 relaxed with PBEsol. The functional is meta-GGA SCAN.

Values from the calculation:
E_tot, eV per atom: -7.5298
V, Å³/cell: 319.94

The structure in CIF format:
```
data_NaPH4SO8
_chemical_formula_sum 'Na2 P2 H8 S2 O16'
_cell_length_a 5.438
_cell_length_b 6.667
_cell_length_c 8.866
_cell_angle_alpha 90.00
_cell_angle_beta 95.52
_cell_angle_gamma 90.00
_space_group_name_H-M_alt 'P 1'
_space_group_IT_number 1
_space_group_name_Hall 'P 1'
loop_
_atom_site_label
_atom_site_fract_x
_atom_site_fract_y
_atom_site_fract_z
O1 0.042 0.628 0.987
O2 0.819 0.834 0.164
O3 0.958 0.128 0.013
O4 0.417 0.937 0.265
O5 0.181 0.334 0.836
O6 0.595 0.806 0.747
O7 0.646 0.495 0.073
O8 0.976 0.024 0.734
O9 0.354 0.995 0.927
O10 0.719 0.135 0.420
O11 0.720 0.627 0.531
O12 0.405 0.306 0.253
O13 0.024 0.524 0.266
O14 0.583 0.437 0.735
O15 0.281 0.635 0.580
O16 0.280 0.127 0.469
S1 0.461 0.132 0.358
S2 0.539 0.632 0.642
H1 0.828 0.930 0.745
H2 0.575 0.892 0.214
H3 0.434 0.909 0.848
H4 0.089 0.500 0.929
H5 0.425 0.392 0.786
H6 0.172 0.430 0.255
H7 0.566 0.409 0.152
H8 0.911 0.000 0.071
P1 0.119 0.118 0.879
P2 0.881 0.618 0.121
Na1 0.010 0.850 0.437
Na2 0.990 0.350 0.563
```